Record 1
La7Ho3Cd: relaxed, PBE-GGA.

Cell: 6.5228 7.7871 7.7871 Å, 84.21 88.81 88.81°
Fractional positions:
La1 0.1986 0.2414 0.2414
La2 0.2812 0.8899 0.5410
La3 0.7188 0.4590 0.1101
La4 0.2812 0.5410 0.8899
La5 0.0000 0.5000 0.5000
La6 0.7188 0.1101 0.4590
La7 0.8014 0.7586 0.7586
Ho1 0.0000 0.8392 0.1608
Ho2 0.5000 0.0000 0.0000
Ho3 0.0000 0.1608 0.8392
Cd1 0.5000 0.5000 0.5000

Results
formation energy from the elements	4.062	kcal/mol of atoms
SG	No. 12
total magnetic moment	0.004	μB per cell
calculated total energy	-0.3154	Ry/atom
volume	393.4	Å³ per cell

Record 2
La3Ho2Cd3: relaxed, PBE-GGA.

Cell: 3.3960 8.9056 8.9056 Å, 120.00 90.00 90.00°
Fractional positions:
La1 0.0000 0.7633 0.7633
La2 0.0000 0.2367 0.0000
La3 0.0000 0.0000 0.2367
Ho1 0.0000 0.3333 0.6667
Ho2 0.0000 0.6667 0.3333
Cd1 0.5000 0.3988 0.3988
Cd2 0.5000 0.6012 0.0000
Cd3 0.5000 0.0000 0.6012

Results
formation energy from the elements	-4.052	kcal/mol of atoms
SG	No. 189
total magnetic moment	0.002	μB per cell
excess energy over the best structure of this formula in the dataset	0.063	eV/atom
calculated total energy	-0.2581	Ry/atom
volume	233.3	Å³ per cell

Record 3
LaHoCd4: relaxed, PBE-GGA.

Cell: 3.4655 6.1312 8.7735 Å, 90.00 90.00 124.43°
Fractional positions:
La1 0.5013 0.4973 0.9980
Ho1 0.0013 0.9973 0.4982
Cd1 0.5015 0.9973 0.1725
Cd2 0.5010 0.9973 0.8239
Cd3 0.0013 0.4973 0.6589
Cd4 0.0014 0.4973 0.3373

Results
formation energy from the elements	-7.680	kcal/mol of atoms
SG	No. 47
total magnetic moment	0.002	μB per cell
excess energy over the best structure of this formula in the dataset	0.000	eV/atom
calculated total energy	-0.1858	Ry/atom
volume	153.8	Å³ per cell

Record 4
La2Ho3Cd3: relaxed, PBE-GGA.

Cell: 3.3464 5.7220 13.1979 Å, 102.52 97.28 90.00°
Last column: magnetic moment on the atom in μB.
Fractional positions:
La1 0.3411 0.8411 0.6822  0.01
La2 0.6589 0.1589 0.3178  0.01
Ho1 0.5994 0.5994 0.1989  0.01
Ho2 0.4006 0.4006 0.8011  0.01
Ho3 0.5000 0.0000 0.0000  0.20
Cd1 0.2754 0.2754 0.5509  0.00
Cd2 0.0000 0.5000 0.0000  0.00
Cd3 0.7246 0.7246 0.4491  0.00

Results
formation energy from the elements	3.916	kcal/mol of atoms
SG	No. 71
total magnetic moment	0.330	μB per cell
calculated total energy	-0.2295	Ry/atom
volume	244.6	Å³ per cell

Record 5
LaHo3Cd2: relaxed, PBE-GGA.

Cell: 3.6945 3.6945 12.6462 Å, 90.00 90.00 90.00°
Fractional positions:
La1 0.5000 0.5000 0.5000
Ho1 0.0000 0.0000 0.0000
Ho2 0.0000 0.0000 0.7017
Ho3 0.0000 0.0000 0.2983
Cd1 0.5000 0.5000 0.8508
Cd2 0.5000 0.5000 0.1492

Results
formation energy from the elements	-4.578	kcal/mol of atoms
SG	No. 123
total magnetic moment	0.007	μB per cell
calculated total energy	-0.2656	Ry/atom
volume	172.6	Å³ per cell

Record 6
LaHo3Cd4: relaxed, PBE-GGA.

Cell: 5.3114 7.6767 10.6229 Å, 90.00 90.00 90.00°
Last column: magnetic moment on the atom in μB.
Fractional positions:
Cd1 0.5000 0.7635 0.0000  0.00
Cd2 0.5000 0.7635 0.5000  0.00
Cd3 0.5000 0.2365 0.0000  0.00
Cd4 0.5000 0.2365 0.5000  0.00
Cd5 0.0003 0.7635 0.7500  0.00
Cd6 0.9997 0.7635 0.2500  0.00
Cd7 0.9997 0.2365 0.2500  0.00
Cd8 0.0003 0.2365 0.7500  0.00
Ho1 0.0000 0.0000 0.0000  0.04
Ho2 0.0000 0.0000 0.5000  0.04
Ho3 0.5003 0.0000 0.7500  0.02
Ho4 0.4997 0.0000 0.2500  0.02
Ho5 0.5003 0.5000 0.7500  0.09
Ho6 0.4997 0.5000 0.2500  0.09
La1 0.0000 0.5000 0.0000  0.07
La2 0.0000 0.5000 0.5000  0.07

Results
formation energy from the elements	-7.079	kcal/mol of atoms
SG	No. 123
total magnetic moment	0.757	μB per cell
calculated total energy	-0.2276	Ry/atom
volume	433.1	Å³ per cell

Record 7
LaHoCd: relaxed, PBE-GGA.

Cell: 5.8813 5.8813 6.8143 Å, 102.52 102.52 119.86°
Fractional positions:
La1 0.6666 0.3334 0.0000
La2 0.3334 0.6666 0.0000
Ho1 0.8623 0.8623 0.7246
Ho2 0.1377 0.1377 0.2754
Cd1 0.7500 0.2500 0.5000
Cd2 0.2500 0.7500 0.5000

Results
formation energy from the elements	-2.898	kcal/mol of atoms
SG	No. 69
total magnetic moment	0.000	μB per cell
excess energy over the best structure of this formula in the dataset	0.067	eV/atom
calculated total energy	-0.2645	Ry/atom
volume	184.3	Å³ per cell

Record 8
LaHo5Cd2: relaxed, PBE-GGA.

Cell: 3.6048 8.4147 8.4147 Å, 76.52 77.63 77.63°
Fractional positions:
La1 0.0000 0.0000 0.0000
Ho1 0.0000 0.5000 0.5000
Ho2 0.6351 0.5894 0.1403
Ho3 0.3649 0.4106 0.8597
Ho4 0.3649 0.8597 0.4106
Ho5 0.6351 0.1403 0.5894
Cd1 0.7434 0.7566 0.7566
Cd2 0.2566 0.2434 0.2434

Results
formation energy from the elements	-1.990	kcal/mol of atoms
SG	No. 71
total magnetic moment	0.000	μB per cell
calculated total energy	-0.2787	Ry/atom
volume	238.8	Å³ per cell

Record 9
La2HoCd: relaxed, PBE-GGA.

Cell: 5.3151 5.3151 9.7438 Å, 105.85 105.85 89.97°
Fractional positions:
La1 0.8638 0.8638 0.2274
La2 0.1362 0.1362 0.7726
La3 0.5000 0.0000 0.5000
La4 0.0000 0.5000 0.5000
Ho1 0.3560 0.3560 0.2120
Ho2 0.6440 0.6440 0.7880
Cd1 0.2498 0.7502 0.0000
Cd2 0.7502 0.2498 0.0000

Results
formation energy from the elements	-3.528	kcal/mol of atoms
SG	No. 139
total magnetic moment	0.000	μB per cell
excess energy over the best structure of this formula in the dataset	0.000	eV/atom
calculated total energy	-0.2933	Ry/atom
volume	253.9	Å³ per cell

Record 10
LaHoCd: relaxed, PBE-GGA.

Cell: 3.6989 5.3382 5.3382 Å, 120.00 90.00 90.00°
Fractional positions:
Cd1 0.2459 0.3333 0.6667
Ho1 0.1005 0.0000 0.0000
La1 0.6536 0.6667 0.3333

Results
formation energy from the elements	-1.924	kcal/mol of atoms
SG	No. 156
total magnetic moment	0.000	μB per cell
excess energy over the best structure of this formula in the dataset	0.109	eV/atom
calculated total energy	-0.2614	Ry/atom
volume	91.3	Å³ per cell

Record 11
La3Ho2Cd2: relaxed, PBE-GGA.

Cell: 5.2056 3.5467 11.9614 Å, 90.00 77.43 90.00°
Fractional positions:
La1 0.8545 0.0000 0.2909
La2 0.0000 0.0000 0.0000
La3 0.1455 0.0000 0.7091
Ho1 0.7105 0.5000 0.5790
Ho2 0.2895 0.5000 0.4210
Cd1 0.5699 0.5000 0.8602
Cd2 0.4301 0.5000 0.1398

Results
formation energy from the elements	-1.735	kcal/mol of atoms
SG	No. 65
total magnetic moment	0.048	μB per cell
calculated total energy	-0.2761	Ry/atom
volume	215.5	Å³ per cell

Record 12
La2HoCd3: relaxed, PBE-GGA.

Cell: 3.7916 3.7916 12.0382 Å, 90.00 90.00 90.00°
Last column: magnetic moment on the atom in μB.
Fractional positions:
La1 0.5000 0.5000 0.8248  0.15
La2 0.5000 0.5000 0.1752  0.15
Ho1 0.5000 0.5000 0.5000  0.05
Cd1 0.0000 0.0000 0.0000  0.01
Cd2 0.0000 0.0000 0.6465  0.01
Cd3 0.0000 0.0000 0.3535  0.01

Results
formation energy from the elements	-7.332	kcal/mol of atoms
SG	No. 123
total magnetic moment	0.798	μB per cell
calculated total energy	-0.2338	Ry/atom
volume	173.1	Å³ per cell

Record 13
LaHoCd: relaxed, PBE-GGA.

Cell: 5.2682 5.2722 5.2722 Å, 60.07 60.02 60.02°
Fractional positions:
La1 0.4168 0.0832 0.0832
Ho1 0.9164 0.5836 0.5836
Cd1 0.6668 0.3332 0.3332

Results
formation energy from the elements	1.901	kcal/mol of atoms
SG	No. 44
total magnetic moment	0.006	μB per cell
excess energy over the best structure of this formula in the dataset	0.275	eV/atom
calculated total energy	-0.2492	Ry/atom
volume	103.6	Å³ per cell

Record 14
La2HoCd: relaxed, PBE-GGA.

Cell: 3.7960 3.7960 9.0442 Å, 90.00 90.00 90.00°
Fractional positions:
Cd1 0.5000 0.5000 0.0000
Ho1 0.5000 0.5000 0.5000
La1 0.0000 0.0000 0.7696
La2 0.0000 0.0000 0.2304

Results
formation energy from the elements	-3.007	kcal/mol of atoms
SG	No. 123
total magnetic moment	0.000	μB per cell
excess energy over the best structure of this formula in the dataset	0.023	eV/atom
calculated total energy	-0.2916	Ry/atom
volume	130.3	Å³ per cell

Record 15
La2HoCd: relaxed, PBE-GGA.

Cell: 5.6441 5.6441 5.6441 Å, 60.00 60.00 60.00°
Fractional positions:
Cd1 0.5000 0.5000 0.5000
Ho1 0.0000 0.0000 0.0000
La1 0.2500 0.2500 0.2500
La2 0.7500 0.7500 0.7500

Results
formation energy from the elements	-1.537	kcal/mol of atoms
SG	No. 225
total magnetic moment	0.003	μB per cell
excess energy over the best structure of this formula in the dataset	0.086	eV/atom
calculated total energy	-0.2869	Ry/atom
volume	127.1	Å³ per cell

Record 16
La3HoCd2: relaxed, PBE-GGA.

Cell: 3.8657 3.8657 12.8282 Å, 90.00 90.00 90.00°
Last column: magnetic moment on the atom in μB.
Fractional positions:
La1 0.0000 0.0000 0.0000  0.11
La2 0.0000 0.0000 0.6862  -0.01
La3 0.0000 0.0000 0.3138  -0.01
Ho1 0.5000 0.5000 0.5000  -0.01
Cd1 0.5000 0.5000 0.8399  0.00
Cd2 0.5000 0.5000 0.1601  0.00

Results
formation energy from the elements	-4.420	kcal/mol of atoms
SG	No. 123
total magnetic moment	0.222	μB per cell
calculated total energy	-0.2737	Ry/atom
volume	191.7	Å³ per cell

Record 17
La4Ho5Cd: relaxed, PBE-GGA.

Cell: 3.6695 3.6695 24.0691 Å, 90.00 90.00 90.00°
Fractional positions:
La1 0.0000 0.0000 0.1851
La2 0.0000 0.0000 0.3952
La3 0.0000 0.0000 0.6048
La4 0.0000 0.0000 0.8149
Ho1 0.5000 0.5000 0.0808
Ho2 0.5000 0.5000 0.2901
Ho3 0.5000 0.5000 0.5000
Ho4 0.5000 0.5000 0.7099
Ho5 0.5000 0.5000 0.9192
Cd1 0.0000 0.0000 0.0000

Results
formation energy from the elements	-0.887	kcal/mol of atoms
SG	No. 123
total magnetic moment	0.000	μB per cell
calculated total energy	-0.3226	Ry/atom
volume	324.1	Å³ per cell

Record 18
LaHo4Cd2: relaxed, PBE-GGA.

Cell: 5.0631 5.0631 10.8839 Å, 76.55 76.55 60.00°
Fractional positions:
La1 0.5000 0.5000 0.5000
Ho1 0.7021 0.7021 0.8938
Ho2 0.8958 0.8958 0.3126
Ho3 0.2979 0.2979 0.1062
Ho4 0.1042 0.1042 0.6874
Cd1 0.6018 0.6018 0.1945
Cd2 0.3982 0.3982 0.8055

Results
formation energy from the elements	4.760	kcal/mol of atoms
SG	No. 166
total magnetic moment	0.237	μB per cell
calculated total energy	-0.2480	Ry/atom
volume	232.8	Å³ per cell

Record 19
La4HoCd5: relaxed, PBE-GGA.

Cell: 3.8694 3.8694 19.7180 Å, 90.00 90.00 90.00°
Last column: magnetic moment on the atom in μB.
Fractional positions:
La1 0.0000 0.0000 0.1927  0.16
La2 0.0000 0.0000 0.3976  0.12
La3 0.0000 0.0000 0.6024  0.12
La4 0.0000 0.0000 0.8073  0.16
Ho1 0.0000 0.0000 0.0000  0.10
Cd1 0.5000 0.5000 0.0872  0.01
Cd2 0.5000 0.5000 0.2961  0.01
Cd3 0.5000 0.5000 0.5000  0.01
Cd4 0.5000 0.5000 0.7039  0.01
Cd5 0.5000 0.5000 0.9128  0.01

Results
formation energy from the elements	-7.410	kcal/mol of atoms
SG	No. 123
total magnetic moment	1.472	μB per cell
calculated total energy	-0.2358	Ry/atom
volume	295.2	Å³ per cell

Record 20
La8Ho2Cd: relaxed, PBE-GGA.

Cell: 6.1844 10.3028 10.3028 Å, 38.89 67.21 67.21°
Fractional positions:
La1 0.3257 0.1109 0.5780
La2 0.3257 0.5780 0.1109
La3 0.6743 0.8891 0.4220
La4 0.2123 0.5342 0.5342
La5 0.6743 0.4220 0.8891
La6 0.3250 0.1004 0.1004
La7 0.6750 0.8996 0.8996
La8 0.7877 0.4658 0.4658
Ho1 0.9015 0.2804 0.2804
Ho2 0.0985 0.7196 0.7196
Cd1 0.0000 0.0000 0.0000

Results
formation energy from the elements	1.109	kcal/mol of atoms
SG	No. 12
total magnetic moment	0.000	μB per cell
excess energy over the best structure of this formula in the dataset	0.075	eV/atom
calculated total energy	-0.3271	Ry/atom
volume	375.8	Å³ per cell